A PBEsol-optimized structure of ZnCo, computed with meta-GGA SCAN.

Computed properties:
volume = 73.5 Å³/cell
formation energy = 0.053 eV per atom
M_tot = 1.6 μB/f.u.
calculated total energy = -15.3567 eV per atom

Cell: 4.9758 4.9758 6.0816 Å, 105.03 105.03 30.43°
Atoms (fractional coordinates):
Zn: 0.0000 0.0000 0.0000
Zn: 0.0461 0.0461 0.6075
Zn: 0.3733 0.3733 0.2680
Co: 0.3176 0.3176 0.6631
Co: 0.6639 0.6639 0.3399
Co: 0.7193 0.7193 0.9334


A PBEsol-optimized structure of ZnCo3, computed with meta-GGA SCAN.

Computed properties:
volume = 43.6 Å³/cell
formation energy = 0.035 eV per atom
M_tot = 5.1 μB/f.u.
calculated total energy = -16.3221 eV per atom

Cell: 3.9519 3.9519 3.9519 Å, 60.00 60.00 60.00°
Atoms (fractional coordinates):
Zn: 0.0000 0.0000 0.0000
Co: 0.2500 0.2500 0.2500
Co: 0.5000 0.5000 0.5000
Co: 0.7500 0.7500 0.7500


A PBEsol-optimized structure of Zn2Co, computed with meta-GGA SCAN.

Computed properties:
volume = 144.0 Å³/cell
formation energy = -0.051 eV per atom
M_tot = 1.7 μB/f.u.
calculated total energy = -14.8293 eV per atom

Cell: 11.2521 11.2521 11.2521 Å, 161.46 161.46 26.34°
Atoms (fractional coordinates):
Zn: 0.1244 0.3744 0.7500
Zn: 0.2882 0.5382 0.7500
Zn: 0.3744 0.1244 0.2500
Zn: 0.4618 0.7118 0.7500
Zn: 0.5382 0.2882 0.2500
Zn: 0.6256 0.8756 0.7500
Zn: 0.7118 0.4618 0.2500
Zn: 0.8756 0.6256 0.2500
Co: 0.0438 0.7938 0.2500
Co: 0.2062 0.9562 0.2500
Co: 0.7938 0.0438 0.7500
Co: 0.9562 0.2062 0.7500


A PBEsol-optimized structure of Zn3Co, computed with meta-GGA SCAN.

Computed properties:
volume = 50.3 Å³/cell
formation energy = 0.079 eV per atom
M_tot = 0.0 μB/f.u.
calculated total energy = -14.3831 eV per atom

Cell: 2.8244 2.8244 6.3101 Å, 90.00 90.00 90.00°
Atoms (fractional coordinates):
Zn: 0.0000 0.0000 0.0000
Zn: 0.5000 0.5000 0.2754
Zn: 0.5000 0.5000 0.7246
Co: 0.0000 0.0000 0.5000


A PBEsol-optimized structure of ZnCo, computed with meta-GGA SCAN.

Computed properties:
volume = 47.1 Å³/cell
formation energy = 0.020 eV per atom
M_tot = 1.7 μB/f.u.
calculated total energy = -15.3897 eV per atom

Cell: 2.5653 2.5653 8.2675 Å, 90.00 90.00 120.00°
Atoms (fractional coordinates):
Zn: 0.3333 0.6667 0.3624
Zn: 0.6667 0.3333 0.6376
Co: 0.3333 0.6667 0.8879
Co: 0.6667 0.3333 0.1121


A PBEsol-optimized structure of ZnCo, computed with meta-GGA SCAN.

Computed properties:
volume = 65.9 Å³/cell
formation energy = 0.954 eV per atom
M_tot = 1.6 μB/f.u.
calculated total energy = -14.4561 eV per atom

Cell: 4.0380 4.0380 4.6702 Å, 90.00 90.00 120.00°
Atoms (fractional coordinates):
Zn: 0.3333 0.6667 0.2500
Zn: 0.6667 0.3333 0.7500
Co: 0.3333 0.6667 0.7500
Co: 0.6667 0.3333 0.2500